Density functional theory data (GGA-PBE) for BeF after structural relaxation.

abc: 4.3727 4.3727 4.3727
angles: 90.00 90.00 90.00
With the nearest neighbours (Å) after each atom.
Space group F-43m (No. 216)
Inequivalent atoms, fractional coordinates:
1 Be 0.0000 0.0000 0.0000 (multiplicity 4)  4 F 1.89
2 F 0.2500 0.2500 0.7500 (multiplicity 4)  4 Be 1.89

Calculated values
Spin magnetization (Bohr magnetons per cell): 0.00
Electronic total energy (eV/atom): -3.72
Excess energy over the best structure of this formula in the dataset (meV per atom): 1084
ΔE_f (raw) (eV/atom): -0.923